Entry 1:
A plane-wave DFT calculation with GGA-PBE was carried out for ReSb4W after structural relaxation.

```
data_ReSb4W
_cell_length_a 8.3583
_cell_length_b 8.3583
_cell_length_c 8.3583
_cell_angle_alpha 90.00
_cell_angle_beta 90.00
_cell_angle_gamma 90.00
_space_group_name_H-M_alt 'F -4 3 m'
_space_group_IT_number 216
_space_group_name_Hall 'F -4 2 3'
loop_
_atom_site_label
_atom_site_fract_x
_atom_site_fract_y
_atom_site_fract_z
Re1 0.0000 0.0000 0.0000
Sb1 0.1251 0.1251 0.6251
W1 0.2500 0.2500 0.2500
```

Values from the calculation:
Total magnetization ... 0.51 μB per formula unit
Total DFT energy (no corrections) ... -5.19 eV/atom

Entry 2:
A plane-wave DFT calculation with GGA-PBE was carried out for ReSb2W after structural relaxation.

```
data_ReSb2W
_cell_length_a 3.1458
_cell_length_b 3.1458
_cell_length_c 25.9769
_cell_angle_alpha 90.00
_cell_angle_beta 90.00
_cell_angle_gamma 120.00
_space_group_name_H-M_alt 'R -3 m'
_space_group_IT_number 166
_space_group_name_Hall '-R 3 2"'
loop_
_atom_site_label
_atom_site_fract_x
_atom_site_fract_y
_atom_site_fract_z
Re1 0.0000 0.0000 0.0000
Sb1 0.0000 0.0000 0.2522
W1 0.0000 0.0000 0.5000
```

Values from the calculation:
Offset from the most stable computed form ... 484 meV per atom
Total magnetization ... 0.00 μB per formula unit
Total DFT energy (no corrections) ... -7.68 eV/atom

Entry 3:
A plane-wave DFT calculation with GGA-PBE was carried out for ReSb2W after structural relaxation.

```
data_ReSb2W
_cell_length_a 4.6900
_cell_length_b 3.1463
_cell_length_c 5.4516
_cell_angle_alpha 90.00
_cell_angle_beta 112.81
_cell_angle_gamma 90.00
_space_group_name_H-M_alt 'P 1 2/m 1'
_space_group_IT_number 10
loop_
_space_group_symop_operation_xyz
'x,y,z'
'-x,-y,-z'
'-x,y,-z'
'x,-y,z'
loop_
_atom_site_label
_atom_site_fract_x
_atom_site_fract_y
_atom_site_fract_z
Re1 0.0000 0.0000 0.0000
Sb1 0.5000 0.0000 0.5000
Sb2 0.5000 0.5000 0.0000
W1 0.0000 0.5000 0.5000
```

Values from the calculation:
Offset from the most stable computed form ... 463 meV per atom
Total magnetization ... 0.00 μB per formula unit
Total DFT energy (no corrections) ... -7.70 eV/atom

Entry 4:
A plane-wave DFT calculation with GGA-PBE was carried out for ReSbW2 after structural relaxation.

```
data_ReSbW2
_cell_length_a 4.6393
_cell_length_b 4.6393
_cell_length_c 3.1431
_cell_angle_alpha 90.00
_cell_angle_beta 90.00
_cell_angle_gamma 90.00
_space_group_name_H-M_alt 'P 4/m m m'
_space_group_IT_number 123
_space_group_name_Hall '-P 4 2'
loop_
_atom_site_label
_atom_site_fract_x
_atom_site_fract_y
_atom_site_fract_z
Re1 0.0000 0.0000 0.0000
Sb1 0.5000 0.5000 0.0000
W1 0.0000 0.5000 0.5000
```

Values from the calculation:
Total magnetization ... 0.00 μB per formula unit
Total DFT energy (no corrections) ... -9.97 eV/atom

Entry 5:
A plane-wave DFT calculation with GGA-PBE was carried out for Re2SbW after structural relaxation.

```
data_Re2SbW
_cell_length_a 3.0156
_cell_length_b 4.1258
_cell_length_c 5.3974
_cell_angle_alpha 90.00
_cell_angle_beta 90.00
_cell_angle_gamma 90.00
_space_group_name_H-M_alt 'P m m m'
_space_group_IT_number 47
loop_
_space_group_symop_operation_xyz
'x,y,z'
'-x,-y,-z'
'-x,-y,z'
'x,y,-z'
'x,-y,-z'
'-x,y,z'
'-x,y,-z'
'x,-y,z'
loop_
_atom_site_label
_atom_site_fract_x
_atom_site_fract_y
_atom_site_fract_z
Re1 0.0000 0.0000 0.2345
Sb1 0.5000 0.5000 0.5000
W1 0.5000 0.5000 0.0000
```

Values from the calculation:
Total magnetization ... 0.00 μB per formula unit
Total DFT energy (no corrections) ... -9.97 eV/atom

Entry 6:
A plane-wave DFT calculation with GGA-PBE was carried out for Re2SbW after structural relaxation.

```
data_Re2SbW
_cell_length_a 3.1574
_cell_length_b 4.7175
_cell_length_c 9.4425
_cell_angle_alpha 90.00
_cell_angle_beta 90.00
_cell_angle_gamma 90.00
_space_group_name_H-M_alt 'C m m m'
_space_group_IT_number 65
_space_group_name_Hall '-C 2 2'
loop_
_atom_site_label
_atom_site_fract_x
_atom_site_fract_y
_atom_site_fract_z
Re1 0.0000 0.0000 0.2229
Sb1 0.0000 0.5000 0.5000
W1 0.0000 0.5000 0.0000
```

Values from the calculation:
Total magnetization ... 0.00 μB per formula unit
Total DFT energy (no corrections) ... -9.83 eV/atom

Entry 7:
A plane-wave DFT calculation with GGA-PBE was carried out for Re2SbW after structural relaxation.

```
data_Re2SbW
_cell_length_a 9.5902
_cell_length_b 3.0716
_cell_length_c 4.7161
_cell_angle_alpha 90.00
_cell_angle_beta 106.44
_cell_angle_gamma 90.00
_space_group_name_H-M_alt 'C 1 m 1'
_space_group_IT_number 8
loop_
_space_group_symop_operation_xyz
'x,y,z'
'x,-y,z'
'x+1/2,y+1/2,z'
'x+1/2,-y+1/2,z'
loop_
_atom_site_label
_atom_site_fract_x
_atom_site_fract_y
_atom_site_fract_z
Re1 0.0000 0.0000 0.0000
Re2 0.2348 0.5000 0.1415
Sb1 0.4893 0.0000 0.4743
W1 0.2458 0.0000 0.6687
```

Values from the calculation:
Total magnetization ... 0.00 μB per formula unit
Total DFT energy (no corrections) ... -10.02 eV/atom

Entry 8:
A plane-wave DFT calculation with GGA-PBE was carried out for ReSbW2 after structural relaxation.

```
data_ReSbW2
_cell_length_a 3.2207
_cell_length_b 3.2207
_cell_length_c 6.5473
_cell_angle_alpha 90.00
_cell_angle_beta 90.00
_cell_angle_gamma 90.00
_space_group_name_H-M_alt 'P 4 m m'
_space_group_IT_number 99
loop_
_space_group_symop_operation_xyz
'x,y,z'
'-y,x,z'
'-x,-y,z'
'y,-x,z'
'-x,y,z'
'y,x,z'
'x,-y,z'
'-y,-x,z'
loop_
_atom_site_label
_atom_site_fract_x
_atom_site_fract_y
_atom_site_fract_z
Re1 0.0000 0.0000 0.0000
Sb1 0.5000 0.5000 0.2647
W1 0.0000 0.0000 0.5267
W2 0.5000 0.5000 0.7659
```

Values from the calculation:
Total magnetization ... 0.00 μB per formula unit
Total DFT energy (no corrections) ... -10.17 eV/atom

Entry 9:
A plane-wave DFT calculation with GGA-PBE was carried out for ReSb2W after structural relaxation.

```
data_ReSb2W
_cell_length_a 3.1229
_cell_length_b 3.1229
_cell_length_c 8.5165
_cell_angle_alpha 90.00
_cell_angle_beta 90.00
_cell_angle_gamma 90.00
_space_group_name_H-M_alt 'P 4 m m'
_space_group_IT_number 99
loop_
_space_group_symop_operation_xyz
'x,y,z'
'-y,x,z'
'-x,-y,z'
'y,-x,z'
'-x,y,z'
'y,x,z'
'x,-y,z'
'-y,-x,z'
loop_
_atom_site_label
_atom_site_fract_x
_atom_site_fract_y
_atom_site_fract_z
Re1 0.0000 0.0000 0.0000
Sb1 0.0000 0.0000 0.5854
Sb2 0.5000 0.5000 0.2176
W1 0.5000 0.5000 0.8194
```

Values from the calculation:
Offset from the most stable computed form ... 0 meV per atom
Total magnetization ... 0.00 μB per formula unit
Total DFT energy (no corrections) ... -8.16 eV/atom

Entry 10:
A plane-wave DFT calculation with GGA-PBE was carried out for Re2SbW after structural relaxation.

```
data_Re2SbW
_cell_length_a 2.9545
_cell_length_b 2.9545
_cell_length_c 26.7935
_cell_angle_alpha 90.00
_cell_angle_beta 90.00
_cell_angle_gamma 120.00
_space_group_name_H-M_alt 'R 3 m'
_space_group_IT_number 160
_space_group_name_Hall 'R 3 -2"'
loop_
_atom_site_label
_atom_site_fract_x
_atom_site_fract_y
_atom_site_fract_z
Re1 0.0000 0.0000 0.0000
Re2 0.0000 0.0000 0.2557
Sb1 0.0000 0.0000 0.7538
W1 0.0000 0.0000 0.5090
```

Values from the calculation:
Total magnetization ... 0.00 μB per formula unit
Total DFT energy (no corrections) ... -9.99 eV/atom

Entry 11:
A plane-wave DFT calculation with GGA-PBE was carried out for Re2SbW after structural relaxation.

```
data_Re2SbW
_cell_length_a 6.4290
_cell_length_b 6.4290
_cell_length_c 6.4290
_cell_angle_alpha 90.00
_cell_angle_beta 90.00
_cell_angle_gamma 90.00
_space_group_name_H-M_alt 'F -4 3 m'
_space_group_IT_number 216
_space_group_name_Hall 'F -4 2 3'
loop_
_atom_site_label
_atom_site_fract_x
_atom_site_fract_y
_atom_site_fract_z
Re1 0.0000 0.0000 0.0000
Re2 0.2500 0.2500 0.2500
Sb1 0.2500 0.2500 0.7500
W1 0.0000 0.0000 0.5000
```

Values from the calculation:
Total magnetization ... 0.00 μB per formula unit
Total DFT energy (no corrections) ... -9.82 eV/atom

Entry 12:
A plane-wave DFT calculation with GGA-PBE was carried out for ReSbW2 after structural relaxation.

```
data_ReSbW2
_cell_length_a 3.8936
_cell_length_b 3.8936
_cell_length_c 4.4648
_cell_angle_alpha 90.00
_cell_angle_beta 90.00
_cell_angle_gamma 90.00
_space_group_name_H-M_alt 'P 4/m m m'
_space_group_IT_number 123
_space_group_name_Hall '-P 4 2'
loop_
_atom_site_label
_atom_site_fract_x
_atom_site_fract_y
_atom_site_fract_z
Re1 0.0000 0.0000 0.0000
Sb1 0.5000 0.5000 0.0000
W1 0.0000 0.5000 0.5000
```

Values from the calculation:
Total magnetization ... 0.00 μB per formula unit
Total DFT energy (no corrections) ... -9.92 eV/atom

Entry 13:
A plane-wave DFT calculation with GGA-PBE was carried out for ReSbW2 after structural relaxation.

```
data_ReSbW2
_cell_length_a 5.3998
_cell_length_b 8.3452
_cell_length_c 3.0133
_cell_angle_alpha 90.00
_cell_angle_beta 90.00
_cell_angle_gamma 90.00
_space_group_name_H-M_alt 'C m m m'
_space_group_IT_number 65
_space_group_name_Hall '-C 2 2'
loop_
_atom_site_label
_atom_site_fract_x
_atom_site_fract_y
_atom_site_fract_z
Re1 0.0000 0.0000 0.0000
Sb1 0.0000 0.5000 0.0000
W1 0.2500 0.2500 0.5000
```

Values from the calculation:
Total magnetization ... 0.00 μB per formula unit
Total DFT energy (no corrections) ... -10.02 eV/atom

Entry 14:
A plane-wave DFT calculation with GGA-PBE was carried out for ReSbW2 after structural relaxation.

```
data_ReSbW2
_cell_length_a 6.4535
_cell_length_b 6.4535
_cell_length_c 6.4535
_cell_angle_alpha 90.00
_cell_angle_beta 90.00
_cell_angle_gamma 90.00
_space_group_name_H-M_alt 'F -4 3 m'
_space_group_IT_number 216
_space_group_name_Hall 'F -4 2 3'
loop_
_atom_site_label
_atom_site_fract_x
_atom_site_fract_y
_atom_site_fract_z
Re1 0.0000 0.0000 0.0000
Sb1 0.2500 0.2500 0.2500
W1 0.0000 0.0000 0.5000
W2 0.2500 0.2500 0.7500
```

Values from the calculation:
Total magnetization ... 0.00 μB per formula unit
Total DFT energy (no corrections) ... -10.03 eV/atom

Entry 15:
A plane-wave DFT calculation with GGA-PBE was carried out for ReSb2W after structural relaxation.

```
data_ReSb2W
_cell_length_a 3.2047
_cell_length_b 4.8298
_cell_length_c 4.7909
_cell_angle_alpha 90.00
_cell_angle_beta 90.00
_cell_angle_gamma 90.00
_space_group_name_H-M_alt 'P m m 2'
_space_group_IT_number 25
loop_
_space_group_symop_operation_xyz
'x,y,z'
'-x,-y,z'
'-x,y,z'
'x,-y,z'
loop_
_atom_site_label
_atom_site_fract_x
_atom_site_fract_y
_atom_site_fract_z
Re1 0.0000 0.0000 0.0000
Sb1 0.0000 0.5000 0.7245
Sb2 0.5000 0.0000 0.4869
W1 0.5000 0.5000 0.2076
```

Values from the calculation:
Offset from the most stable computed form ... 280 meV per atom
Total magnetization ... 0.00 μB per formula unit
Total DFT energy (no corrections) ... -7.88 eV/atom

Entry 16:
A plane-wave DFT calculation with GGA-PBE was carried out for ReSb2W after structural relaxation.

```
data_ReSb2W
_cell_length_a 6.7350
_cell_length_b 6.7350
_cell_length_c 6.7350
_cell_angle_alpha 90.00
_cell_angle_beta 90.00
_cell_angle_gamma 90.00
_space_group_name_H-M_alt 'F -4 3 m'
_space_group_IT_number 216
_space_group_name_Hall 'F -4 2 3'
loop_
_atom_site_label
_atom_site_fract_x
_atom_site_fract_y
_atom_site_fract_z
Re1 0.0000 0.0000 0.0000
Sb1 0.0000 0.0000 0.5000
Sb2 0.2500 0.2500 0.7500
W1 0.2500 0.2500 0.2500
```

Values from the calculation:
Offset from the most stable computed form ... 746 meV per atom
Total magnetization ... 0.00 μB per formula unit
Total DFT energy (no corrections) ... -7.42 eV/atom

Entry 17:
A plane-wave DFT calculation with GGA-PBE was carried out for ReSb2W after structural relaxation.

```
data_ReSb2W
_cell_length_a 3.1690
_cell_length_b 4.3712
_cell_length_c 11.4368
_cell_angle_alpha 90.00
_cell_angle_beta 90.00
_cell_angle_gamma 90.00
_space_group_name_H-M_alt 'I m m 2'
_space_group_IT_number 44
loop_
_space_group_symop_operation_xyz
'x,y,z'
'-x,-y,z'
'-x,y,z'
'x,-y,z'
'x+1/2,y+1/2,z+1/2'
'-x+1/2,-y+1/2,z+1/2'
'-x+1/2,y+1/2,z+1/2'
'x+1/2,-y+1/2,z+1/2'
loop_
_atom_site_label
_atom_site_fract_x
_atom_site_fract_y
_atom_site_fract_z
Re1 0.0000 0.0000 0.0000
Sb1 0.0000 0.0000 0.4649
Sb2 0.0000 0.5000 0.7058
W1 0.0000 0.5000 0.3003
```

Values from the calculation:
Offset from the most stable computed form ... 419 meV per atom
Total magnetization ... 0.00 μB per formula unit
Total DFT energy (no corrections) ... -7.75 eV/atom

Entry 18:
A plane-wave DFT calculation with GGA-PBE was carried out for ReSbW2 after structural relaxation.

```
data_ReSbW2
_cell_length_a 3.2086
_cell_length_b 4.4703
_cell_length_c 4.6930
_cell_angle_alpha 90.00
_cell_angle_beta 90.00
_cell_angle_gamma 90.00
_space_group_name_H-M_alt 'P m m m'
_space_group_IT_number 47
loop_
_space_group_symop_operation_xyz
'x,y,z'
'-x,-y,-z'
'-x,-y,z'
'x,y,-z'
'x,-y,-z'
'-x,y,z'
'-x,y,-z'
'x,-y,z'
loop_
_atom_site_label
_atom_site_fract_x
_atom_site_fract_y
_atom_site_fract_z
Re1 0.0000 0.0000 0.0000
Sb1 0.5000 0.0000 0.5000
W1 0.0000 0.5000 0.5000
W2 0.5000 0.5000 0.0000
```

Values from the calculation:
Total magnetization ... 0.00 μB per formula unit
Total DFT energy (no corrections) ... -10.09 eV/atom

Entry 19:
A plane-wave DFT calculation with GGA-PBE was carried out for ReSbW2 after structural relaxation.

```
data_ReSbW2
_cell_length_a 3.9070
_cell_length_b 3.9070
_cell_length_c 19.2603
_cell_angle_alpha 90.00
_cell_angle_beta 90.00
_cell_angle_gamma 90.00
_space_group_name_H-M_alt 'I -4 2 d'
_space_group_IT_number 122
_space_group_name_Hall 'I -4 2bw'
loop_
_atom_site_label
_atom_site_fract_x
_atom_site_fract_y
_atom_site_fract_z
Re1 0.0000 0.0000 0.0000
Sb1 0.0000 0.0000 0.5000
W1 0.2426 0.2500 0.6250
```

Values from the calculation:
Total magnetization ... 0.00 μB per formula unit
Total DFT energy (no corrections) ... -9.55 eV/atom

Entry 20:
A plane-wave DFT calculation with GGA-PBE was carried out for ReSb2W after structural relaxation.

```
data_ReSb2W
_cell_length_a 6.6028
_cell_length_b 6.6028
_cell_length_c 6.6028
_cell_angle_alpha 90.00
_cell_angle_beta 90.00
_cell_angle_gamma 90.00
_space_group_name_H-M_alt 'F m -3 m'
_space_group_IT_number 225
_space_group_name_Hall '-F 4 2 3'
loop_
_atom_site_label
_atom_site_fract_x
_atom_site_fract_y
_atom_site_fract_z
Re1 0.0000 0.0000 0.0000
Sb1 0.2500 0.2500 0.2500
W1 0.0000 0.0000 0.5000
```

Values from the calculation:
Offset from the most stable computed form ... 379 meV per atom
Total magnetization ... 0.00 μB per formula unit
Total DFT energy (no corrections) ... -7.79 eV/atom

| no. | ΔE_f (raw) (eV per atom) |
| --- | --- |
| 1 | 1.79 |
| 2 | 0.73 |
| 3 | 0.71 |
| 4 | 0.65 |
| 5 | 0.53 |
| 6 | 0.66 |
| 7 | 0.48 |
| 8 | 0.45 |
| 9 | 0.25 |
| 10 | 0.50 |
| 11 | 0.67 |
| 12 | 0.70 |
| 13 | 0.60 |
| 14 | 0.58 |
| 15 | 0.53 |
| 16 | 0.99 |
| 17 | 0.67 |
| 18 | 0.53 |
| 19 | 1.06 |
| 20 | 0.63 |